# 1
Ac6NiTe3Rh2 | the Alexandria database | PBE | relaxed; E_form (uncorrected) = -1.007 eV per atom; spin magnetization = 0.00 μB/atom; total energy = -66.646 eV for the cell shown
1.0
-4.6504 -3.5537 -4.9031
7.4651 0.5206 -1.5154
0.3202 -5.9073 5.9591
Rh Te Ac Ni
2 3 6 1
direct
0.6665 0.3335 0.0000
0.3335 0.6665 0.0000
0.8328 0.1672 0.5000
0.1672 0.8328 0.5000
0.5000 0.5000 0.5000
0.9300 0.5946 0.7897
0.5946 0.9300 0.7897
0.7346 0.7346 0.2104
0.0700 0.4054 0.2103
0.4054 0.0700 0.2103
0.2654 0.2654 0.7896
0.0000 0.0000 0.0000

# 2
Ac3SmSb4 | the Alexandria database | PBE | relaxed; E_form (uncorrected) = -1.187 eV per atom; E above lowest polymorph = 0.000 eV/atom; spin magnetization = 0.00 μB/atom; total energy = -43.030 eV for the cell shown
1.0
-2.2581 3.7078 1.8661
-3.2695 1.6841 -7.3027
-4.9435 -5.0688 4.0895
Ac Sb Sm
3 4 1
direct
0.0000 0.0000 0.5000
0.0000 0.5000 0.0000
0.5000 0.5000 0.5000
0.5000 0.2438 0.7562
0.5000 0.7562 0.2438
0.0000 0.7616 0.7616
0.0000 0.2384 0.2384
0.5000 0.0000 0.0000

# 3
SrMg2Tl2 | the Alexandria database | PBE | relaxed; energy of formation = -141 meV/atom; E above lowest polymorph = 0.086 eV/atom; spin magnetization = 0.00 μB/atom; total energy = -20.620 eV for the cell shown
1.0
-7.1689 4.3334 -2.9040
-4.2492 -1.9880 7.5232
1.2026 2.9707 1.4642
Tl Mg Sr
4 4 2
direct
0.3245 0.1755 0.5000
0.8245 0.3245 0.5000
0.1755 0.6755 0.5000
0.6755 0.8245 0.5000
0.1222 0.3778 0.0000
0.3778 0.8778 0.0000
0.6222 0.1222 0.0000
0.8778 0.6222 0.0000
0.5000 0.5000 0.0000
0.0000 0.0000 0.0000